GGA+U BaVIO2, relaxed; energy above the most stable polymorph in this dataset = 0.000 eV per atom; size of the total moment = 4.00 Bohr magnetons per cell
1.0
-2.647 -4.909 1.554
5.392 -2.966 -0.186
-1.580 3.076 7.026
Ba V I O
2 2 2 4
direct
0.250 0.608 0.216
0.750 0.392 0.784
0.250 0.990 0.979
0.750 0.010 0.021
0.750 0.758 0.516
0.250 0.242 0.484
0.500 0.213 0.000
0.000 0.787 0.000
0.500 0.787 0.000
0.000 0.213 0.000